1.
An optimized crystal structure of HAuO2, computed with GGA-PBE.

Cell: 5.298 5.298 5.298 Å, 90.00 90.00 90.00°
Space group Fm-3m (No. 225)
Asymmetric unit:
H: 0.000 0.000 0.000 x4
Au: 0.000 0.000 0.500 x4
O: 0.250 0.250 0.250 x8

Output
- ρ (g cm⁻³) = 10.3
- M_tot (Bohr magnetons per cell) = 0.00
- N(E_F) (states/eV/atom) = 1.49
- excess energy over the best structure of this formula in the dataset (kJ/mol of atoms) = 131.7

***

2.
An optimized crystal structure of Pm6TmHg2, computed with GGA-PBE.

Cell: 12.861 3.783 12.102 Å, 90.00 108.92 90.00°
Space group C2/m (No. 12)
Asymmetric unit:
Pm: 0.022 0.000 0.335 x4
Pm: 0.186 0.500 0.877 x4
Pm: 0.190 0.500 0.591 x4
Tm: 0.000 0.000 0.000 x2
Hg: 0.137 0.500 0.192 x4

Output
- ΔH_f (0 K) (eV per formula unit) = -1.897
- ρ (g cm⁻³) = 8.6
- M_tot (Bohr magnetons per cell) = 0.00
- N(E_F) (states/eV/atom) = 1.00

***

3.
An optimized crystal structure of Ac3SmS4, computed with GGA-PBE.

Cell: 6.003 6.003 6.003 Å, 90.00 90.00 90.00°
Space group Pm-3m (No. 221)
Asymmetric unit:
Ac: 0.000 0.000 0.500 x3
Sm: 0.500 0.500 0.500 x1
S: 0.000 0.000 0.000 x1
S: 0.000 0.500 0.500 x3

Output
- ρ (g cm⁻³) = 7.4
- M_tot (Bohr magnetons per cell) = 0.00
- N(E_F) (states/eV/atom) = 0.64
- excess energy over the best structure of this formula in the dataset (kJ/mol of atoms) = 3.1
- formation energy from raw total energies (eV per atom) = -1.965

***

4.
An optimized crystal structure of Ba2CuS2I2, computed with GGA-PBE.

Cell: 4.762 4.762 19.226 Å, 90.00 90.00 90.00°
Space group I4/mmm (No. 139)
Asymmetric unit:
Ba: 0.000 0.000 0.112 x4
Cu: 0.000 0.000 0.500 x2
S: 0.000 0.500 0.000 x4
I: 0.000 0.000 0.316 x4

Output
- ρ (g cm⁻³) = 5.0
- M_tot (Bohr magnetons per cell) = 0.00
- N(E_F) (states/eV/atom) = 0.41
- formation energy from raw total energies (eV per atom) = -1.414

***

5.
An optimized crystal structure of Sm9TmTh2, computed with GGA-PBE.

Cell: 5.097 5.097 15.295 Å, 90.00 90.00 90.00°
Space group P4/mmm (No. 123)
Asymmetric unit:
Sm: 0.000 0.000 0.000 x1
Sm: 0.000 0.000 0.332 x2
Sm: 0.000 0.500 0.167 x4
Sm: 0.000 0.500 0.500 x2
Tm: 0.500 0.500 0.000 x1
Th: 0.500 0.500 0.333 x2

Output
- ΔH_f (0 K) (eV per formula unit) = 0.520
- ρ (g cm⁻³) = 8.3
- M_tot (Bohr magnetons per cell) = 0.00
- N(E_F) (states/eV/atom) = 1.39

***

6.
An optimized crystal structure of AcPrEu, computed with GGA-PBE.

Cell: 3.8752 3.8752 9.4323 Å, 90.00 90.00 120.00°
Space group P3m1 (No. 156)
Asymmetric unit:
Ac: 0.0000 0.0000 0.0000 x1
Pr: 0.6667 0.3333 0.3235 x1
Eu: 0.3333 0.6667 0.6527 x1

Output
- ΔH_f (0 K) (eV per formula unit) = 0.069
- ρ (g cm⁻³) = 7.0
- M_tot (Bohr magnetons per cell) = 7.50
- N(E_F) (states/eV/atom) = 1.21
- excess energy over the best structure of this formula in the dataset (kJ/mol of atoms) = 0.5

***

7.
An optimized crystal structure of SmDy2Rh, computed with GGA-PBE.

Cell: 3.8626 3.8626 27.3185 Å, 90.00 90.00 120.00°
Space group R3m (No. 160, hexagonal axes)
Asymmetric unit:
Sm: 0.0000 0.0000 0.0000 x3
Dy: 0.0000 0.0000 0.5568 x3
Dy: 0.0000 0.0000 0.7729 x3
Rh: 0.0000 0.0000 0.1647 x3

Output
- ΔH_f (0 K) (eV per formula unit) = -1.401
- ρ (g cm⁻³) = 8.2
- M_tot (Bohr magnetons per cell) = 0.00
- N(E_F) (states/eV/atom) = 1.30
- excess energy over the best structure of this formula in the dataset (kJ/mol of atoms) = 15.1

***

8.
An optimized crystal structure of ZnRu3Cl, computed with GGA-PBE.

Cell: 4.330 4.330 4.330 Å, 90.00 90.00 90.00°
Space group Pm-3m (No. 221)
Asymmetric unit:
Zn: 0.000 0.000 0.000 x1
Ru: 0.000 0.500 0.500 x3
Cl: 0.500 0.500 0.500 x1

Output
- ρ (g cm⁻³) = 8.3
- M_tot (Bohr magnetons per cell) = 0.00
- N(E_F) (states/eV/atom) = 1.13
- excess energy over the best structure of this formula in the dataset (kJ/mol of atoms) = 0.0
- formation energy from raw total energies (eV per atom) = 1.047

***

What is the N(E_F) in the fourth record? 0.41 states/eV/atom

***

What is the ρ in the fifth record? 8.3 g cm⁻³